one) This record from Alexandria describes a relaxed BeHgMo3 crystal. The functional is PBE-GGA.

a = 4.2921 Å, b = 4.2921 Å, c = 4.2921 Å
α = 90.00°, β = 90.00°, γ = 90.00°
Space group Pm-3m (No. 221)
Inequivalent atoms, fractional coordinates:
Be 0.0000 0.0000 0.0000 x1
Hg 0.5000 0.5000 0.5000 x1
Mo 0.0000 0.0000 0.5000 x3

two) This record from Alexandria describes a relaxed BeHgMo3 crystal. The functional is PBE-GGA.

a = 4.9200 Å, b = 4.9200 Å, c = 4.9200 Å
α = 90.00°, β = 90.00°, γ = 90.00°
Space group Pm-3m (No. 221)
Inequivalent atoms, fractional coordinates:
Be 0.0000 0.0000 0.0000 x1
Hg 0.5000 0.5000 0.5000 x1
Mo 0.0000 0.5000 0.5000 x3

Most stable: one)

one) This record from Alexandria describes a relaxed BeHg2N crystal. The functional is PBE-GGA.

a = 5.9024 Å, b = 5.9024 Å, c = 8.4080 Å
α = 90.00°, β = 90.00°, γ = 90.00°
Space group I-42d (No. 122)
Inequivalent atoms, fractional coordinates:
Be 0.0000 0.0000 0.0000 x4
Hg 0.2272 0.2500 0.6250 x8
N 0.0000 0.0000 0.5000 x4

two) This record from Alexandria describes a relaxed BeHg2N crystal. The functional is PBE-GGA.

a = 6.2664 Å, b = 6.2664 Å, c = 6.2664 Å
α = 90.00°, β = 90.00°, γ = 90.00°
Space group Fm-3m (No. 225)
Inequivalent atoms, fractional coordinates:
Be 0.0000 0.0000 0.0000 x4
Hg 0.2500 0.2500 0.2500 x8
N 0.0000 0.0000 0.5000 x4

Most stable: one)

one) This record from Alexandria describes a relaxed Be2HgN crystal. The functional is PBE-GGA.

a = 5.2026 Å, b = 5.2026 Å, c = 7.4543 Å
α = 90.00°, β = 90.00°, γ = 90.00°
Space group I-42d (No. 122)
Inequivalent atoms, fractional coordinates:
Be 0.0724 0.2500 0.1250 x8
Hg 0.0000 0.0000 0.5000 x4
N 0.0000 0.0000 0.0000 x4

two) This record from Alexandria describes a relaxed Be2HgN crystal. The functional is PBE-GGA.

a = 5.7386 Å, b = 5.7386 Å, c = 5.7386 Å
α = 90.00°, β = 90.00°, γ = 90.00°
Space group Fm-3m (No. 225)
Inequivalent atoms, fractional coordinates:
Be 0.2500 0.2500 0.2500 x8
Hg 0.0000 0.0000 0.0000 x4
N 0.0000 0.0000 0.5000 x4

Most stable: one)

one) This record from Alexandria describes a relaxed BeHg2NO crystal. The functional is PBE-GGA.

a = 6.1445 Å, b = 6.1445 Å, c = 2.8726 Å
α = 90.00°, β = 90.00°, γ = 90.00°
Space group P4/mmm (No. 123)
Inequivalent atoms, fractional coordinates:
Be 0.0000 0.0000 0.0000 x1
Hg 0.0000 0.5000 0.0000 x2
N 0.5000 0.5000 0.5000 x1
O 0.0000 0.0000 0.5000 x1

two) This record from Alexandria describes a relaxed BeHg2NO crystal. The functional is PBE-GGA.

a = 4.8939 Å, b = 4.8939 Å, c = 3.0873 Å
α = 90.00°, β = 90.00°, γ = 90.00°
Space group P4/mmm (No. 123)
Inequivalent atoms, fractional coordinates:
Be 0.0000 0.0000 0.0000 x1
Hg 0.0000 0.5000 0.5000 x2
N 0.0000 0.0000 0.5000 x1
O 0.5000 0.5000 0.0000 x1

Most stable: one)

one) This record from Alexandria describes a relaxed BeHgSN2 crystal. The functional is PBE-GGA.

a = 4.0324 Å, b = 4.0324 Å, c = 6.0716 Å
α = 90.00°, β = 90.00°, γ = 90.00°
Space group P4/mmm (No. 123)
Inequivalent atoms, fractional coordinates:
Be 0.0000 0.0000 0.0000 x1
Hg 0.5000 0.5000 0.5000 x1
S 0.5000 0.5000 0.0000 x1
N 0.0000 0.5000 0.5000 x2

two) This record from Alexandria describes a relaxed BeHgSN2 crystal. The functional is PBE-GGA.

a = 3.5473 Å, b = 3.5473 Å, c = 5.9268 Å
α = 90.00°, β = 90.00°, γ = 90.00°
Space group P4/mmm (No. 123)
Inequivalent atoms, fractional coordinates:
Be 0.0000 0.0000 0.0000 x1
Hg 0.5000 0.5000 0.5000 x1
S 0.0000 0.0000 0.5000 x1
N 0.0000 0.5000 0.0000 x2

Most stable: two)

one) This record from Alexandria describes a relaxed NaBe2Hg2 crystal. The functional is PBE-GGA.

a = 7.3824 Å, b = 7.3824 Å, c = 3.0974 Å
α = 90.00°, β = 90.00°, γ = 90.00°
Space group P4/mbm (No. 127)
Inequivalent atoms, fractional coordinates:
Na 0.0000 0.0000 0.0000 x2
Be 0.1068 0.3932 0.0000 x4
Hg 0.1897 0.6897 0.5000 x4

two) This record from Alexandria describes a relaxed NaBe2Hg2 crystal. The functional is PBE-GGA.

a = 3.7833 Å, b = 3.7833 Å, c = 12.7024 Å
α = 90.00°, β = 90.00°, γ = 90.00°
Space group I4/mmm (No. 139)
Inequivalent atoms, fractional coordinates:
Na 0.0000 0.0000 0.0000 x2
Be 0.0000 0.5000 0.2500 x4
Hg 0.0000 0.0000 0.3801 x4

Most stable: one)